[1]
# NdZn3Hg3 (PBE, optimized geometry)
data_NdZn3Hg3
_chemical_formula_sum 'Nd2 Zn6 Hg6'
_cell_length_a 7.228
_cell_length_b 7.228
_cell_length_c 7.228
_cell_angle_alpha 90.00
_cell_angle_beta 90.00
_cell_angle_gamma 90.00
_symmetry_space_group_name_H-M 'P 1'
_symmetry_Int_Tables_number 1
_symmetry_space_group_name_Hall 'P 1'
loop_
_atom_site_label
_atom_site_fract_x
_atom_site_fract_y
_atom_site_fract_z
Hg1 0.000 0.250 0.500
Zn1 0.500 0.750 0.000
Zn2 0.750 0.000 0.500
Hg2 0.500 0.000 0.250
Nd1 0.000 0.000 0.000
Zn3 0.000 0.500 0.750
Hg3 0.250 0.500 0.000
Zn4 0.000 0.500 0.250
Nd2 0.500 0.500 0.500
Zn5 0.500 0.250 0.000
Zn6 0.250 0.000 0.500
Hg4 0.500 0.000 0.750
Hg5 0.750 0.500 0.000
Hg6 0.000 0.750 0.500
# ΔH_f (0 K): 0.24 eV/atom

[2]
# Nd3Zn4Hg4 (PBE, optimized geometry)
data_Nd3Zn4Hg4
_chemical_formula_sum 'Nd3 Zn4 Hg4'
_cell_length_a 3.753
_cell_length_b 4.776
_cell_length_c 14.563
_cell_angle_alpha 82.71
_cell_angle_beta 82.65
_cell_angle_gamma 90.06
_symmetry_space_group_name_H-M 'P 1'
_symmetry_Int_Tables_number 1
_symmetry_space_group_name_Hall 'P 1'
loop_
_atom_site_label
_atom_site_fract_x
_atom_site_fract_y
_atom_site_fract_z
Hg1 0.552 0.541 0.898
Nd1 0.146 0.615 0.708
Zn1 0.741 0.694 0.519
Nd2 0.854 0.385 0.292
Zn2 0.259 0.306 0.481
Hg2 0.689 0.140 0.620
Nd3 0.000 0.000 0.000
Zn3 0.404 0.924 0.190
Zn4 0.596 0.076 0.810
Hg3 0.448 0.459 0.102
Hg4 0.311 0.860 0.380
# ΔH_f (0 K): -0.34 eV/atom